# 1
# Ag2PtCl

A PBEsol-optimized structure of Ag2PtCl (SCAN, Alexandria via LeMat-Bulk).

Structure (CIF):
```
data_Ag2PtCl
_chemical_formula_sum 'Ag6 Pt3 Cl3'
_space_group_name_H-M_alt 'R -3 m'
_space_group_IT_number 166
_space_group_name_Hall '-R 3 2"'
_cell_length_a 3.0152
_cell_length_b 3.0152
_cell_length_c 25.3057
_cell_angle_alpha 90.00
_cell_angle_beta 90.00
_cell_angle_gamma 120.00
loop_
_atom_site_label
_atom_site_type_symbol
_atom_site_fract_x
_atom_site_fract_y
_atom_site_fract_z
Ag1 Ag 0.0000 0.0000 0.2480
Pt1 Pt 0.0000 0.0000 0.0000
Cl1 Cl 0.0000 0.0000 0.5000
```

E above lowest polymorph	0.000	eV per atom
formation energy without anion corrections	0.001	eV/atom

# 2
# AgPt2Cl

A PBEsol-optimized structure of AgPt2Cl (SCAN, Alexandria via LeMat-Bulk).

Structure (CIF):
```
data_AgPt2Cl
_chemical_formula_sum 'Ag1 Pt2 Cl1'
_space_group_name_H-M_alt 'P 4/m m m'
_space_group_IT_number 123
_space_group_name_Hall '-P 4 2'
_cell_length_a 2.811
_cell_length_b 2.811
_cell_length_c 8.000
_cell_angle_alpha 90.00
_cell_angle_beta 90.00
_cell_angle_gamma 90.00
loop_
_atom_site_label
_atom_site_type_symbol
_atom_site_fract_x
_atom_site_fract_y
_atom_site_fract_z
Ag1 Ag 0.000 0.000 0.000
Pt1 Pt 0.500 0.500 0.251
Cl1 Cl 0.000 0.000 0.500
```

E above lowest polymorph	0.215	eV per atom
formation energy without anion corrections	0.491	eV/atom

# 3
# Ag2PtCl

A PBEsol-optimized structure of Ag2PtCl (SCAN, Alexandria via LeMat-Bulk).

Structure (CIF):
```
data_Ag2PtCl
_chemical_formula_sum 'Ag4 Pt2 Cl2'
_space_group_name_H-M_alt 'I m m 2'
_space_group_IT_number 44
_cell_length_a 2.945
_cell_length_b 4.386
_cell_length_c 11.548
_cell_angle_alpha 90.00
_cell_angle_beta 90.00
_cell_angle_gamma 90.00
loop_
_space_group_symop_operation_xyz
'x,y,z'
'-x,-y,z'
'-x,y,z'
'x,-y,z'
'x+1/2,y+1/2,z+1/2'
'-x+1/2,-y+1/2,z+1/2'
'-x+1/2,y+1/2,z+1/2'
'x+1/2,-y+1/2,z+1/2'
loop_
_atom_site_label
_atom_site_type_symbol
_atom_site_fract_x
_atom_site_fract_y
_atom_site_fract_z
Ag1 Ag 0.000 0.000 0.000
Ag2 Ag 0.000 0.500 0.146
Pt1 Pt 0.000 0.000 0.441
Cl1 Cl 0.000 0.500 0.764
```

E above lowest polymorph	0.117	eV per atom
formation energy without anion corrections	0.118	eV/atom

# 4
# RbAgCl2

A PBEsol-optimized structure of RbAgCl2 (SCAN, Alexandria via LeMat-Bulk).

Structure (CIF):
```
data_RbAgCl2
_chemical_formula_sum 'Rb3 Ag3 Cl6'
_space_group_name_H-M_alt 'R -3 m'
_space_group_IT_number 166
_space_group_name_Hall '-R 3 2"'
_cell_length_a 5.0129
_cell_length_b 5.0129
_cell_length_c 22.6132
_cell_angle_alpha 90.00
_cell_angle_beta 90.00
_cell_angle_gamma 120.00
loop_
_atom_site_label
_atom_site_type_symbol
_atom_site_fract_x
_atom_site_fract_y
_atom_site_fract_z
Rb1 Rb 0.0000 0.0000 0.0000
Ag1 Ag 0.0000 0.0000 0.5000
Cl1 Cl 0.0000 0.0000 0.3987
```

formation energy without anion corrections	-1.270	eV/atom

# 5
# RbAgCl2

A PBEsol-optimized structure of RbAgCl2 (SCAN, Alexandria via LeMat-Bulk).

Structure (CIF):
```
data_RbAgCl2
_chemical_formula_sum 'Rb4 Ag4 Cl8'
_space_group_name_H-M_alt 'I -4 2 d'
_space_group_IT_number 122
_space_group_name_Hall 'I -4 2bw'
_cell_length_a 7.598
_cell_length_b 7.598
_cell_length_c 7.735
_cell_angle_alpha 90.00
_cell_angle_beta 90.00
_cell_angle_gamma 90.00
loop_
_atom_site_label
_atom_site_type_symbol
_atom_site_fract_x
_atom_site_fract_y
_atom_site_fract_z
Rb1 Rb 0.000 0.000 0.000
Ag1 Ag 0.000 0.000 0.500
Cl1 Cl 0.181 0.750 0.625
```

formation energy without anion corrections	-1.330	eV/atom

# 6
# Rb2AgCl

A PBEsol-optimized structure of Rb2AgCl (SCAN, Alexandria via LeMat-Bulk).

Structure (CIF):
```
data_Rb2AgCl
_chemical_formula_sum 'Rb8 Ag4 Cl4'
_space_group_name_H-M_alt 'I -4 2 d'
_space_group_IT_number 122
_space_group_name_Hall 'I -4 2bw'
_cell_length_a 8.686
_cell_length_b 8.686
_cell_length_c 9.472
_cell_angle_alpha 90.00
_cell_angle_beta 90.00
_cell_angle_gamma 90.00
loop_
_atom_site_label
_atom_site_type_symbol
_atom_site_fract_x
_atom_site_fract_y
_atom_site_fract_z
Rb1 Rb 0.218 0.750 0.125
Ag1 Ag 0.000 0.000 0.500
Cl1 Cl 0.000 0.000 0.000
```

formation energy without anion corrections	-0.883	eV/atom

# 7
# Rb2ScAgCl6

A PBEsol-optimized structure of Rb2ScAgCl6 (SCAN, Alexandria via LeMat-Bulk).

Structure (CIF):
```
data_Rb2ScAgCl6
_chemical_formula_sum 'Rb8 Sc4 Ag4 Cl24'
_space_group_name_H-M_alt 'F m -3 m'
_space_group_IT_number 225
_space_group_name_Hall '-F 4 2 3'
_cell_length_a 10.226
_cell_length_b 10.226
_cell_length_c 10.226
_cell_angle_alpha 90.00
_cell_angle_beta 90.00
_cell_angle_gamma 90.00
loop_
_atom_site_label
_atom_site_type_symbol
_atom_site_fract_x
_atom_site_fract_y
_atom_site_fract_z
Rb1 Rb 0.250 0.250 0.250
Sc1 Sc 0.000 0.000 0.000
Ag1 Ag 0.000 0.000 0.500
Cl1 Cl 0.000 0.000 0.241
```

formation energy without anion corrections	-1.987	eV/atom

# 8
# Rb2SmAgCl6

A PBEsol-optimized structure of Rb2SmAgCl6 (SCAN, Alexandria via LeMat-Bulk).

Structure (CIF):
```
data_Rb2SmAgCl6
_chemical_formula_sum 'Rb8 Sm4 Ag4 Cl24'
_space_group_name_H-M_alt 'F m -3 m'
_space_group_IT_number 225
_space_group_name_Hall '-F 4 2 3'
_cell_length_a 10.610
_cell_length_b 10.610
_cell_length_c 10.610
_cell_angle_alpha 90.00
_cell_angle_beta 90.00
_cell_angle_gamma 90.00
loop_
_atom_site_label
_atom_site_type_symbol
_atom_site_fract_x
_atom_site_fract_y
_atom_site_fract_z
Rb1 Rb 0.250 0.250 0.250
Sm1 Sm 0.000 0.000 0.000
Ag1 Ag 0.000 0.000 0.500
Cl1 Cl 0.000 0.000 0.250
```

formation energy without anion corrections	-2.020	eV/atom

Copy entry 2 word for word.
# AgPt2Cl

A PBEsol-optimized structure of AgPt2Cl (SCAN, Alexandria via LeMat-Bulk).

Structure (CIF):
```
data_AgPt2Cl
_chemical_formula_sum 'Ag1 Pt2 Cl1'
_space_group_name_H-M_alt 'P 4/m m m'
_space_group_IT_number 123
_space_group_name_Hall '-P 4 2'
_cell_length_a 2.811
_cell_length_b 2.811
_cell_length_c 8.000
_cell_angle_alpha 90.00
_cell_angle_beta 90.00
_cell_angle_gamma 90.00
loop_
_atom_site_label
_atom_site_type_symbol
_atom_site_fract_x
_atom_site_fract_y
_atom_site_fract_z
Ag1 Ag 0.000 0.000 0.000
Pt1 Pt 0.500 0.500 0.251
Cl1 Cl 0.000 0.000 0.500
```

E above lowest polymorph	0.215	eV per atom
formation energy without anion corrections	0.491	eV/atom

Look up the formation energy without anion corrections of the eighth one.
-2.020 eV/atom

formation energy without anion corrections of number 1 (Ag2PtCl)?
0.001 eV/atom